VASP calculation (PBE) on crystalline SrMnOs2 at its relaxed geometry.

```
data_SrMnOs2
_cell_length_a 4.003
_cell_length_b 4.003
_cell_length_c 4.491
_cell_angle_alpha 90.00
_cell_angle_beta 90.00
_cell_angle_gamma 90.00
_space_group_name_H-M_alt 'P 1'
_space_group_IT_number 1
loop_
_space_group_symop_operation_xyz
'x,y,z'
loop_
_atom_site_label
_atom_site_fract_x
_atom_site_fract_y
_atom_site_fract_z
_atom_site_occupancy
Sr1 0.000 0.000 0.000 1
Mn1 0.500 0.500 0.000 1
Os1 0.000 0.500 0.500 1
Os2 0.500 0.000 0.500 1
```

Calculated values
As for the density of states at the Fermi level: 4.7 states/eV/cell. The calculation puts the calculated formation energy at 1099 meV per atom. Its offset from the most stable computed form is 820 meV/atom. The calculation puts the total energy at -28.91 eV for the cell shown. The space-group type is P4/mmm.